No. 1
# NaLaSe2, optimized geometry, DFT GGA-PBE
# **Total moment**: 0.00 μB/cell
# **D(E_F)**: 0.00 states/eV/atom
# **ΔE_f (raw)**: -1.564 eV per atom
# **Calculated volume**: 450.3 Å³/cell
data_NaLaSe2
_chemical_formula_sum 'Na3 La3 Se6'
_cell_length_a 4.5184
_cell_length_b 4.5184
_cell_length_c 25.4716
_cell_angle_alpha 90.00
_cell_angle_beta 90.00
_cell_angle_gamma 120.00
_symmetry_space_group_name_H-M 'R -3 m'
_symmetry_Int_Tables_number 166
_symmetry_space_group_name_Hall '-R 3 2"'
loop_
_atom_site_label
_atom_site_type_symbol
_atom_site_fract_x
_atom_site_fract_y
_atom_site_fract_z
Na1 Na 0.0000 0.0000 0.0000
La1 La 0.0000 0.0000 0.5000
Se1 Se 0.0000 0.0000 0.1060

No. 2
# NaLa3Se, optimized geometry, DFT GGA-PBE
# **Total moment**: 0.00 μB/cell
# **D(E_F)**: 1.66 states/eV/atom
# **Energy above the lowest structure with this stoichiometry**: 0 meV per atom
# **ΔE_f (raw)**: -0.484 eV per atom
# **Calculated volume**: 195.6 Å³/cell
data_NaLa3Se
_chemical_formula_sum 'Na1 La3 Se1'
_cell_length_a 5.805
_cell_length_b 5.805
_cell_length_c 5.805
_cell_angle_alpha 90.00
_cell_angle_beta 90.00
_cell_angle_gamma 90.00
_symmetry_space_group_name_H-M 'P m -3 m'
_symmetry_Int_Tables_number 221
_symmetry_space_group_name_Hall '-P 4 2 3'
loop_
_atom_site_label
_atom_site_type_symbol
_atom_site_fract_x
_atom_site_fract_y
_atom_site_fract_z
Na1 Na 0.000 0.000 0.000
La1 La 0.000 0.500 0.500
Se1 Se 0.500 0.500 0.500

Which value of D(E_F) does entry 2 give?
1.66 states/eV/atom

The highest ΔE_f (raw) belongs to which entry?
NaLa3Se